Compound: Tb4GaTe5
Source: Alexandria via LeMat-Bulk
Functional: PBE
Structure: optimized geometry

Raw total energy ... -4.8357 eV/atom

Structure (CIF):
```
data_Tb4GaTe5
_chemical_formula_sum 'Tb8 Ga2 Te10'
_symmetry_space_group_name_H-M 'C 1 2/m 1'
_symmetry_Int_Tables_number 12
_cell_length_a 21.164
_cell_length_b 4.303
_cell_length_c 8.413
_cell_angle_alpha 90.00
_cell_angle_beta 106.07
_cell_angle_gamma 90.00
loop_
_symmetry_equiv_pos_as_xyz
'x,y,z'
'-x,-y,-z'
'-x,y,-z'
'x,-y,z'
'x+1/2,y+1/2,z'
'-x+1/2,-y+1/2,-z'
'-x+1/2,y+1/2,-z'
'x+1/2,-y+1/2,z'
loop_
_atom_site_label
_atom_site_type_symbol
_atom_site_fract_x
_atom_site_fract_y
_atom_site_fract_z
_atom_site_occupancy
Tb1 Tb 0.036 0.000 0.267 1
Tb2 Tb 0.174 0.500 0.533 1
Ga1 Ga 0.000 0.500 0.500 1
Te1 Te 0.000 0.500 0.000 1
Te2 Te 0.104 0.000 0.683 1
Te3 Te 0.183 0.000 0.277 1
```